No. 1
VASP calculation (PBE) on a relaxed structure of SmNbAsO.

Results
Energy above the lowest structure with this stoichiometry in kJ per mole of atoms: 49.0

Geometry as CIF:
```
data_SmNbAsO
_symmetry_space_group_name_H-M 'P m c 21'
_symmetry_Int_Tables_number 26
_cell_length_a 4.570
_cell_length_b 6.187
_cell_length_c 6.023
_cell_angle_alpha 90.00
_cell_angle_beta 90.00
_cell_angle_gamma 90.00
loop_
_symmetry_equiv_pos_as_xyz
'x,y,z'
'-x,-y,z+1/2'
'-x,y,z'
'x,-y,z+1/2'
loop_
_atom_site_label
_atom_site_fract_x
_atom_site_fract_y
_atom_site_fract_z
Sm1 0.000 0.229 0.000
Nb1 0.500 0.392 0.616
As1 0.000 0.247 0.496
O1 0.500 0.319 0.945
```

No. 2
VASP calculation (PBE) on a relaxed structure of LuHfW.

Results
DFT formation energy in meV per atom: 686
Energy above the lowest structure with this stoichiometry in kJ per mole of atoms: 0.0

Geometry as CIF:
```
data_LuHfW
_symmetry_space_group_name_H-M 'F -4 3 m'
_symmetry_Int_Tables_number 216
_symmetry_space_group_name_Hall 'F -4 2 3'
_cell_length_a 6.605
_cell_length_b 6.605
_cell_length_c 6.605
_cell_angle_alpha 90.00
_cell_angle_beta 90.00
_cell_angle_gamma 90.00
loop_
_atom_site_label
_atom_site_fract_x
_atom_site_fract_y
_atom_site_fract_z
Lu1 0.000 0.000 0.000
Hf1 0.000 0.000 0.500
W1 0.250 0.250 0.750
```

No. 3
VASP calculation (PBE) on a relaxed structure of NaLuBeTe3.

Results
Electronic total energy in eV/atom: -4.076

Geometry as CIF:
```
data_NaLuBeTe3
_symmetry_space_group_name_H-M 'C m c m'
_symmetry_Int_Tables_number 63
_symmetry_space_group_name_Hall '-C 2c 2'
_cell_length_a 4.129
_cell_length_b 14.640
_cell_length_c 11.309
_cell_angle_alpha 90.00
_cell_angle_beta 90.00
_cell_angle_gamma 90.00
loop_
_atom_site_label
_atom_site_fract_x
_atom_site_fract_y
_atom_site_fract_z
Na1 0.000 0.248 0.250
Lu1 0.000 0.000 0.000
Be1 0.000 0.467 0.750
Te1 0.000 0.073 0.750
Te2 0.000 0.365 0.576
```

No. 4
VASP calculation (PBE) on a relaxed structure of HoMgCdAg.

Results
Electronic total energy in eV/atom: -2.771

Geometry as CIF:
```
data_HoMgCdAg
_symmetry_space_group_name_H-M 'F -4 3 m'
_symmetry_Int_Tables_number 216
_symmetry_space_group_name_Hall 'F -4 2 3'
_cell_length_a 7.062
_cell_length_b 7.062
_cell_length_c 7.062
_cell_angle_alpha 90.00
_cell_angle_beta 90.00
_cell_angle_gamma 90.00
loop_
_atom_site_label
_atom_site_fract_x
_atom_site_fract_y
_atom_site_fract_z
Ho1 0.000 0.000 0.000
Mg1 0.000 0.000 0.500
Cd1 0.250 0.250 0.750
Ag1 0.250 0.250 0.250
```

No. 5
VASP calculation (PBE) on a relaxed structure of DyAlO3.

Results
Electronic total energy in eV/atom: -7.971

Geometry as CIF:
```
data_DyAlO3
_symmetry_space_group_name_H-M 'P n m a'
_symmetry_Int_Tables_number 62
_cell_length_a 5.338
_cell_length_b 7.383
_cell_length_c 5.175
_cell_angle_alpha 90.00
_cell_angle_beta 90.00
_cell_angle_gamma 90.00
loop_
_symmetry_equiv_pos_as_xyz
'x,y,z'
'-x,-y,-z'
'-x+1/2,-y,z+1/2'
'x+1/2,y,-z+1/2'
'x+1/2,-y+1/2,-z+1/2'
'-x+1/2,y+1/2,z+1/2'
'-x,y+1/2,-z'
'x,-y+1/2,z'
loop_
_atom_site_label
_atom_site_fract_x
_atom_site_fract_y
_atom_site_fract_z
Dy1 0.055 0.250 0.013
Al1 0.000 0.000 0.500
O1 0.023 0.750 0.414
O2 0.206 0.545 0.794
```

No. 6
VASP calculation (PBE) on a relaxed structure of Ga2NiPb.

Results
Electronic total energy in eV/atom: -3.601

Geometry as CIF:
```
data_Ga2NiPb
_symmetry_space_group_name_H-M 'F -4 3 m'
_symmetry_Int_Tables_number 216
_symmetry_space_group_name_Hall 'F -4 2 3'
_cell_length_a 6.723
_cell_length_b 6.723
_cell_length_c 6.723
_cell_angle_alpha 90.00
_cell_angle_beta 90.00
_cell_angle_gamma 90.00
loop_
_atom_site_label
_atom_site_fract_x
_atom_site_fract_y
_atom_site_fract_z
Ga1 0.000 0.000 0.000
Ga2 0.250 0.250 0.250
Ni1 0.250 0.250 0.750
Pb1 0.000 0.000 0.500
```

No. 7
VASP calculation (PBE) on a relaxed structure of Hf2Pb3W4C3.

Results
Electronic total energy in eV/atom: -9.128

Geometry as CIF:
```
data_Hf2Pb3W4C3
_symmetry_space_group_name_H-M 'C 1 2/c 1'
_symmetry_Int_Tables_number 15
_cell_length_a 9.877
_cell_length_b 5.712
_cell_length_c 14.319
_cell_angle_alpha 90.00
_cell_angle_beta 102.68
_cell_angle_gamma 90.00
loop_
_symmetry_equiv_pos_as_xyz
'x,y,z'
'-x,-y,-z'
'-x,y,-z+1/2'
'x,-y,z+1/2'
'x+1/2,y+1/2,z'
'-x+1/2,-y+1/2,-z'
'-x+1/2,y+1/2,-z+1/2'
'x+1/2,-y+1/2,z+1/2'
loop_
_atom_site_label
_atom_site_fract_x
_atom_site_fract_y
_atom_site_fract_z
Hf1 0.055 0.083 0.412
Pb1 0.000 0.434 0.250
Pb2 0.176 0.094 0.749
W1 0.106 0.414 0.574
W2 0.228 0.418 0.927
C1 0.084 0.253 0.000
C2 0.250 0.250 0.500
```

No. 8
VASP calculation (PBE) on a relaxed structure of Nd2ErCu4Sn2Ge2.

Results
Energy above the lowest structure with this stoichiometry in kJ per mole of atoms: 0.0

Geometry as CIF:
```
data_Nd2ErCu4Sn2Ge2
_symmetry_space_group_name_H-M 'I m m m'
_symmetry_Int_Tables_number 71
_symmetry_space_group_name_Hall '-I 2 2'
_cell_length_a 4.461
_cell_length_b 6.704
_cell_length_c 14.663
_cell_angle_alpha 90.00
_cell_angle_beta 90.00
_cell_angle_gamma 90.00
loop_
_atom_site_label
_atom_site_fract_x
_atom_site_fract_y
_atom_site_fract_z
Nd1 0.000 0.000 0.127
Er1 0.000 0.500 0.000
Cu1 0.000 0.187 0.341
Sn1 0.000 0.500 0.215
Ge1 0.000 0.306 0.500
```